Record 1
Zn2FeCu | PBE-GGA | relaxed

Calculated values
For the calculated formation energy, the calculation gives 6.98 kJ per mole of atoms. As for the crystal system: tetragonal. The value obtained for the total energy is -3.7043 eV/atom. The density of states at the Fermi level comes out at 1.0083 states/eV per atom.

Unit cell a=3.9363 b=3.9363 c=6.6965 alpha=90.00 beta=90.00 gamma=90.00
Space group I4/mmm (No. 139)
Symmetry-distinct sites (fractional):
Zn1 0.0000 0.5000 0.2500 (multiplicity 4)
Fe1 0.0000 0.0000 0.0000 (multiplicity 2)
Cu1 0.0000 0.0000 0.5000 (multiplicity 2)

***

Record 2
SrScMo | PBE-GGA | relaxed

Calculated values
For the calculated formation energy, the calculation gives 58.31 kJ per mole of atoms. As for the crystal system: tetragonal. The value obtained for the total energy is -5.6772 eV/atom. The density of states at the Fermi level comes out at 1.3594 states/eV per atom.

Unit cell a=3.6161 b=3.6161 c=11.9872 alpha=90.00 beta=90.00 gamma=90.00
Space group I4mm (No. 107)
Symmetry-distinct sites (fractional):
Sr1 0.0000 0.0000 0.0000 (multiplicity 2)
Sc1 0.0000 0.0000 0.7230 (multiplicity 2)
Mo1 0.0000 0.0000 0.3075 (multiplicity 2)

***

Record 3
Ta3Mn4Ga | PBE-GGA | relaxed

Calculated values
For the calculated formation energy, the calculation gives -17.80 kJ per mole of atoms. As for the crystal system: tetragonal. The value obtained for the total energy is -9.5924 eV/atom. The density of states at the Fermi level comes out at 0.8071 states/eV per atom.

Unit cell a=3.0748 b=3.0748 c=11.8244 alpha=90.00 beta=90.00 gamma=90.00
Space group P4/mmm (No. 123)
Symmetry-distinct sites (fractional):
Ta1 0.0000 0.0000 0.0000 (multiplicity 1)
Ta2 0.0000 0.0000 0.2597 (multiplicity 2)
Mn1 0.5000 0.5000 0.1285 (multiplicity 2)
Mn2 0.5000 0.5000 0.3840 (multiplicity 2)
Ga1 0.0000 0.0000 0.5000 (multiplicity 1)

***

Record 4
NdIn2Pd4 | PBE-GGA | relaxed

Calculated values
For the calculated formation energy, the calculation gives -61.96 kJ per mole of atoms. As for the crystal system: tetragonal. The value obtained for the total energy is -5.0730 eV/atom. The density of states at the Fermi level comes out at 0.5559 states/eV per atom.

Unit cell a=6.9192 b=6.9192 c=5.6887 alpha=90.00 beta=90.00 gamma=90.00
Space group I4/mmm (No. 139)
Symmetry-distinct sites (fractional):
Nd1 0.0000 0.0000 0.0000 (multiplicity 2)
In1 0.0000 0.5000 0.2500 (multiplicity 4)
Pd1 0.2003 0.2003 0.5000 (multiplicity 8)

***

Record 5
HfTh2Sc6 | PBE-GGA | relaxed

Calculated values
For the calculated formation energy, the calculation gives 8.89 kJ per mole of atoms. As for the crystal system: hexagonal. The value obtained for the total energy is -6.8836 eV/atom. The density of states at the Fermi level comes out at 1.8876 states/eV per atom.

Unit cell a=3.3317 b=3.3317 c=24.3402 alpha=90.00 beta=90.00 gamma=120.00
Space group P-6m2 (No. 187)
Symmetry-distinct sites (fractional):
Hf1 0.0000 0.0000 0.0000 (multiplicity 1)
Th1 0.3333 0.6667 0.3256 (multiplicity 2)
Sc1 0.0000 0.0000 0.2085 (multiplicity 2)
Sc2 0.0000 0.0000 0.4388 (multiplicity 2)
Sc3 0.3333 0.6667 0.1014 (multiplicity 2)

***

Record 6
SrLi4Pu3O12 | PBE-GGA | relaxed

Calculated values
The formation energy from raw total energies comes out at -2.4028 eV per atom. As for the crystal system: trigonal. The value obtained for the total energy is -7.9944 eV/atom. The density of states at the Fermi level comes out at 0.5197 states/eV per atom.

Unit cell a=11.2473 b=11.2473 c=7.9854 alpha=90.00 beta=90.00 gamma=120.00
Space group R32 (No. 155, hexagonal axes)
Symmetry-distinct sites (fractional):
Sr1 0.0000 0.0000 0.0000 (multiplicity 3)
Li1 0.0000 0.0000 0.5000 (multiplicity 3)
Li2 0.0000 0.4337 0.5000 (multiplicity 9)
Pu1 0.0000 0.5603 0.0000 (multiplicity 9)
O1 0.0000 0.6042 0.5000 (multiplicity 9)
O2 0.0000 0.8338 0.5000 (multiplicity 9)
O3 0.0627 0.2260 0.1895 (multiplicity 18)